# Rb2Zr2O5, optimized geometry, DFT PBE
data_Rb2Zr2O5
_chemical_formula_sum 'Rb2 Zr2 O5'
_cell_length_a 11.963
_cell_length_b 3.480
_cell_length_c 3.480
_cell_angle_alpha 90.00
_cell_angle_beta 90.00
_cell_angle_gamma 90.00
_space_group_name_H-M_alt 'P 1'
_space_group_IT_number 1
_space_group_name_Hall 'P 1'
loop_
_atom_site_label
_atom_site_fract_x
_atom_site_fract_y
_atom_site_fract_z
Zr1 0.000 0.000 0.000
Zr2 0.500 0.000 0.000
O1 0.892 0.500 0.000
O2 0.500 0.500 0.500
Rb1 0.738 0.500 0.500
O3 0.108 0.000 0.500
O4 0.108 0.500 0.000
O5 0.892 0.000 0.500
Rb2 0.262 0.500 0.500
# * density: 4.97 Mg/m³
# * symmetry: P4/mmm
# * final energy: -6.1811 eV per atom


# Rb2ZrO3, optimized geometry, DFT PBE
data_Rb2ZrO3
_chemical_formula_sum 'Rb4 Zr2 O6'
_cell_length_a 6.521
_cell_length_b 6.521
_cell_length_c 5.918
_cell_angle_alpha 90.00
_cell_angle_beta 90.00
_cell_angle_gamma 67.74
_space_group_name_H-M_alt 'P 1'
_space_group_IT_number 1
_space_group_name_Hall 'P 1'
loop_
_atom_site_label
_atom_site_fract_x
_atom_site_fract_y
_atom_site_fract_z
Rb1 0.304 0.022 0.758
O1 0.851 0.149 0.677
Zr1 0.411 0.589 0.228
O2 0.357 0.392 0.489
Zr2 0.589 0.411 0.728
O3 0.149 0.851 0.177
Rb2 0.696 0.978 0.258
Rb3 0.978 0.696 0.758
O4 0.643 0.608 0.989
O5 0.608 0.643 0.489
O6 0.392 0.357 0.989
Rb4 0.022 0.304 0.258
# * density: 4.42 Mg/m³
# * symmetry: Cmc2_1
# * final energy: -6.6236 eV per atom


# Rb4ZrO4, optimized geometry, DFT PBE
data_Rb4ZrO4
_chemical_formula_sum 'Rb8 Zr2 O8'
_cell_length_a 6.806
_cell_length_b 6.809
_cell_length_c 10.122
_cell_angle_alpha 71.55
_cell_angle_beta 79.09
_cell_angle_gamma 66.52
_space_group_name_H-M_alt 'P 1'
_space_group_IT_number 1
_space_group_name_Hall 'P 1'
loop_
_atom_site_label
_atom_site_fract_x
_atom_site_fract_y
_atom_site_fract_z
O1 0.464 0.335 0.188
O2 0.041 0.297 0.375
Zr1 0.277 0.155 0.247
Rb1 0.787 0.033 0.376
O3 0.867 0.839 0.910
O4 0.536 0.665 0.812
Rb2 0.259 0.406 0.834
O5 0.959 0.703 0.625
O6 0.548 0.151 0.646
O7 0.133 0.161 0.090
Rb3 0.278 0.512 0.440
Rb4 0.237 0.762 0.031
Rb5 0.722 0.488 0.560
Zr2 0.723 0.845 0.753
Rb6 0.213 0.967 0.624
Rb7 0.763 0.238 0.969
O8 0.452 0.849 0.354
Rb8 0.741 0.594 0.166
# * density: 4.06 Mg/m³
# * symmetry: P-1
# * final energy: -5.5673 eV per atom


# ReO2, optimized geometry, DFT PBE
data_ReO2
_chemical_formula_sum 'Re2 O4'
_cell_length_a 4.970
_cell_length_b 4.970
_cell_length_c 4.970
_cell_angle_alpha 121.90
_cell_angle_beta 121.90
_cell_angle_gamma 86.74
_space_group_name_H-M_alt 'P 1'
_space_group_IT_number 1
_space_group_name_Hall 'P 1'
loop_
_atom_site_label
_atom_site_fract_x
_atom_site_fract_y
_atom_site_fract_z
O1 0.875 0.369 0.994
O2 0.119 0.125 0.494
O3 0.631 0.625 0.506
Re1 0.000 0.000 0.000
O4 0.375 0.881 0.006
Re2 0.750 0.250 0.500
# * density: 8.61 Mg/m³
# * symmetry: I-42d
# * final energy: -8.0557 eV per atom


Which formula does entry 1 have? Rb2Zr2O5


Look up the density of the fourth one. 8.61 Mg/m³


The lowest final energy belongs to which entry? ReO2


final energy of number 2 (Rb2ZrO3)? -6.6236 eV per atom